This record from the Alexandria database describes InSeIBr2 after structural relaxation. The functional is PBEsol.

The space group is P4/mmm (No. 123) and the conventional cell measures 5.154, 5.154 and 5.705 Å, with angles of 90.00, 90.00 and 90.00 degrees. The asymmetric unit holds In at (0.000, 0.000, 0.000), Se at (0.000, 0.000, 0.500), I at (0.500, 0.500, 0.500) and Br at (0.000, 0.500, 0.000).

The calculation puts the relative energy among the computed polymorphs at 0 meV/atom.



This record from the Alexandria database describes InSiI2Br after structural relaxation. The functional is PBEsol.

The space group is P4/mmm (No. 123) and the conventional cell measures 5.315, 5.315 and 5.589 Å, with angles of 90.00, 90.00 and 90.00 degrees. The asymmetric unit holds In at (0.000, 0.000, 0.000), Si at (0.000, 0.000, 0.500), I at (0.000, 0.500, 0.500) and Br at (0.500, 0.500, 0.000).



| no. | E_form (uncorrected) (kJ per mole of atoms) | spin magnetization (μB/f.u.) |
| --- | --- | --- |
| 1 | -3.3 | 0.00 |
| 2 | 1.0 | 0.00 |